{
  "formula": "CuP7I",
  "functional": "PBE",
  "state": "optimized geometry",
  "lattice_angstrom": [[9.964, 0.000, 0.000], [0.000, 10.037, 0.000], [-4.254, 0.000, 16.066]],
  "species": ["Cu", "Cu", "Cu", "Cu", "Cu", "Cu", "Cu", "Cu", "P", "P", "P", "P", "P", "P", "P", "P", "P", "P", "P", "P", "P", "P", "P", "P", "P", "P", "P", "P", "P", "P", "P", "P", "P", "P", "P", "P", "P", "P", "P", "P", "P", "P", "P", "P", "P", "P", "P", "P", "P", "P", "P", "P", "P", "P", "P", "P", "P", "P", "P", "P", "P", "P", "P", "P", "I", "I", "I", "I", "I", "I", "I", "I"],
  "frac_coords": [[0.033, 0.082, 0.392], [0.033, 0.418, 0.892], [0.314, 0.633, 0.681], [0.314, 0.867, 0.181], [0.686, 0.133, 0.819], [0.686, 0.367, 0.319], [0.967, 0.582, 0.108], [0.967, 0.918, 0.608], [0.076, 0.179, 0.169], [0.076, 0.321, 0.669], [0.110, 0.109, 0.632], [0.110, 0.391, 0.132], [0.143, 0.120, 0.006], [0.143, 0.380, 0.506], [0.149, 0.195, 0.308], [0.149, 0.305, 0.808], [0.158, 0.082, 0.818], [0.158, 0.418, 0.318], [0.176, 0.157, 0.515], [0.176, 0.343, 0.015], [0.258, 0.078, 0.136], [0.258, 0.422, 0.636], [0.294, 0.036, 0.734], [0.294, 0.464, 0.234], [0.302, 0.058, 0.942], [0.302, 0.442, 0.442], [0.377, 0.148, 0.340], [0.377, 0.352, 0.840], [0.405, 0.143, 0.555], [0.405, 0.357, 0.055], [0.454, 0.231, 0.956], [0.454, 0.269, 0.456], [0.456, 0.191, 0.150], [0.456, 0.309, 0.650], [0.459, 0.196, 0.767], [0.459, 0.304, 0.267], [0.541, 0.696, 0.733], [0.541, 0.804, 0.233], [0.544, 0.691, 0.350], [0.544, 0.809, 0.850], [0.546, 0.731, 0.544], [0.546, 0.769, 0.044], [0.595, 0.643, 0.945], [0.595, 0.857, 0.445], [0.623, 0.648, 0.160], [0.623, 0.852, 0.660], [0.698, 0.558, 0.558], [0.698, 0.942, 0.058], [0.706, 0.536, 0.766], [0.706, 0.964, 0.266], [0.742, 0.578, 0.364], [0.742, 0.922, 0.864], [0.824, 0.657, 0.985], [0.824, 0.843, 0.485], [0.842, 0.582, 0.682], [0.842, 0.918, 0.182], [0.851, 0.695, 0.192], [0.851, 0.805, 0.692], [0.857, 0.620, 0.494], [0.857, 0.880, 0.994], [0.890, 0.609, 0.868], [0.890, 0.891, 0.368], [0.924, 0.679, 0.331], [0.924, 0.821, 0.831], [0.186, 0.701, 0.062], [0.186, 0.799, 0.562], [0.213, 0.684, 0.808], [0.213, 0.816, 0.308], [0.787, 0.184, 0.692], [0.787, 0.316, 0.192], [0.814, 0.201, 0.438], [0.814, 0.299, 0.938]],
  "energy_ev_per_atom": -4.889,
  "formation_energy_uncorrected_kj_per_mol_atoms": -5,
  "space_group": "P2_1/c, No. 14",
  "magnetic_moment_mub_per_fu": 0.00
}